# 1
P2RhCl | PBE | optimized geometry

CIF file:
```
data_P2RhCl
_chemical_formula_sum 'P8 Rh4 Cl4'
_space_group_name_H-M_alt 'P 1'
_space_group_IT_number 1
_cell_length_a 6.216
_cell_length_b 6.216
_cell_length_c 6.216
_cell_angle_alpha 90.00
_cell_angle_beta 90.00
_cell_angle_gamma 90.00
loop_
_space_group_symop_operation_xyz
'x,y,z'
loop_
_atom_site_label
_atom_site_type_symbol
_atom_site_fract_x
_atom_site_fract_y
_atom_site_fract_z
_atom_site_occupancy
P1 P 0.000 0.000 0.000 1
P2 P 0.000 0.500 0.500 1
P3 P 0.250 0.250 0.250 1
P4 P 0.250 0.750 0.750 1
P5 P 0.500 0.000 0.500 1
P6 P 0.500 0.500 0.000 1
P7 P 0.750 0.250 0.750 1
P8 P 0.750 0.750 0.250 1
Rh1 Rh 0.250 0.250 0.750 1
Rh2 Rh 0.250 0.750 0.250 1
Rh3 Rh 0.750 0.250 0.250 1
Rh4 Rh 0.750 0.750 0.750 1
Cl1 Cl 0.000 0.000 0.500 1
Cl2 Cl 0.000 0.500 0.000 1
Cl3 Cl 0.500 0.000 0.000 1
Cl4 Cl 0.500 0.500 0.500 1
```

Summary:
Raw formation energy: 559 meV/atom
Total magnetic moment: 0.00 Bohr magnetons per cell


# 2
LiIn | PBE | optimized geometry

CIF file:
```
data_LiIn
_chemical_formula_sum 'Li2 In2'
_space_group_name_H-M_alt 'P 1'
_space_group_IT_number 1
_cell_length_a 3.230
_cell_length_b 3.230
_cell_length_c 10.369
_cell_angle_alpha 90.00
_cell_angle_beta 90.00
_cell_angle_gamma 120.00
loop_
_space_group_symop_operation_xyz
'x,y,z'
loop_
_atom_site_label
_atom_site_type_symbol
_atom_site_fract_x
_atom_site_fract_y
_atom_site_fract_z
_atom_site_occupancy
Li1 Li 0.333 0.667 0.000 1
Li2 Li 0.667 0.333 0.500 1
In1 In 0.333 0.667 0.727 1
In2 In 0.667 0.333 0.227 1
```

Summary:
Total magnetic moment: 0.00 Bohr magnetons per cell
ΔH_f (0 K): -0.05 eV per atom